Here is crystalline CrOs2O6 at its relaxed geometry from Alexandria via LeMat-Bulk. Energies are from PBE with a Hubbard U.

Calculated values
The total energy comes out at -7.782 eV/atom. The symmetry is Pnnm.

```
data_CrOs2O6
_chemical_formula_sum 'Cr2 Os4 O12'
_cell_length_a 4.591
_cell_length_b 5.143
_cell_length_c 8.656
_cell_angle_alpha 90.00
_cell_angle_beta 90.00
_cell_angle_gamma 90.00
_space_group_name_H-M_alt 'P 1'
_space_group_IT_number 1
loop_
_space_group_symop_operation_xyz
'x,y,z'
loop_
_atom_site_label
_atom_site_fract_x
_atom_site_fract_y
_atom_site_fract_z
Cr1 0.000 0.000 0.000
Cr2 0.500 0.500 0.500
Os1 0.000 0.500 0.184
Os2 0.000 0.500 0.816
Os3 0.500 0.000 0.316
Os4 0.500 0.000 0.684
O1 0.200 0.342 0.000
O2 0.232 0.829 0.172
O3 0.232 0.829 0.828
O4 0.268 0.329 0.328
O5 0.268 0.329 0.672
O6 0.300 0.842 0.500
O7 0.700 0.158 0.500
O8 0.732 0.671 0.328
O9 0.732 0.671 0.672
O10 0.768 0.171 0.172
O11 0.768 0.171 0.828
O12 0.800 0.658 0.000
```